1.
# ZrSc2Ni2

A relaxed structure of ZrSc2Ni2 (GGA-PBEsol, Alexandria via LeMat-Bulk).

Lattice parameters (Å, degrees): 6.9326 6.9326 3.5699 90.00 90.00 90.00
With the nearest neighbours (Å) after each atom.
Space group P4/mbm (No. 127)
Unique sites:
Zr1 0.0000 0.0000 0.0000 (multiplicity 2)  4 Ni 2.73
Sc1 0.1646 0.3354 0.5000 (multiplicity 4)  6 Ni 2.71
Ni1 0.1278 0.6278 0.0000 (multiplicity 4)  1 Ni 2.51, 6 Sc 2.71, 2 Zr 2.73

Properties
Energy = -72.5 eV per cell
Formation energy = -331 meV per atom
Magnetization = 0.00 μB/f.u.
Calculated volume = 17.2 Å³ per atom

2.
# RbLiSc2

A relaxed structure of RbLiSc2 (GGA-PBEsol, Alexandria via LeMat-Bulk).

Lattice parameters (Å, degrees): 3.2596 3.2596 38.6055 90.00 90.00 120.00
With the nearest neighbours (Å) after each atom.
Space group R-3m (No. 166, hexagonal axes)
Unique sites:
Rb1 0.0000 0.0000 0.0000 (multiplicity 3)  6 Rb 3.26
Li1 0.0000 0.0000 0.5000 (multiplicity 3)  2 Sc 3.00, 6 Li 3.26
Sc1 0.0000 0.0000 0.4224 (multiplicity 6)  1 Li 3.00, 6 Sc 3.26

Properties
Energy = -40.7 eV per cell
Formation energy = 657 meV per atom
Magnetization = 0.01 μB/f.u.
Calculated volume = 29.6 Å³ per atom

3.
# Li2CdHg2

A relaxed structure of Li2CdHg2 (GGA-PBEsol, Alexandria via LeMat-Bulk).

Lattice parameters (Å, degrees): 7.5449 7.5449 3.2050 90.00 90.00 90.00
With the nearest neighbours (Å) after each atom.
Space group P4/mbm (No. 127)
Unique sites:
Li1 0.1399 0.3601 0.0000 (multiplicity 4)  6 Hg 2.72-2.74, 2 Cd 2.91, 1 Li 2.99
Cd1 0.0000 0.0000 0.0000 (multiplicity 2)  4 Li 2.91, 2 Cd 3.20
Hg1 0.1537 0.6537 0.5000 (multiplicity 4)  6 Li 2.72-2.74

Properties
Energy = -15.3 eV per cell
Formation energy = -273 meV per atom
Magnetization = 0.00 μB/f.u.
Calculated volume = 18.2 Å³ per atom

4.
# PrCdPd

A relaxed structure of PrCdPd (GGA-PBEsol, Alexandria via LeMat-Bulk).

Lattice parameters (Å, degrees): 7.6089 7.6089 4.0190 90.00 90.00 120.00
With the nearest neighbours (Å) after each atom.
Space group P-62m (No. 189)
Unique sites:
Pr1 0.0000 0.5933 0.0000 (multiplicity 3)  5 Pd 3.06-3.09, 6 Cd 3.29-3.37
Cd1 0.0000 0.2509 0.5000 (multiplicity 3)  4 Pd 2.77-2.90
Pd1 0.0000 0.0000 0.0000 (multiplicity 1)  6 Cd 2.77, 3 Pr 3.09
Pd2 0.3333 0.6667 0.5000 (multiplicity 2)  3 Cd 2.90, 6 Pr 3.06

Properties
Energy = -42.9 eV per cell
Formation energy = -653 meV per atom
Magnetization = 0.00 μB/f.u.
Calculated volume = 22.4 Å³ per atom

5.
# Li2TiCo3P6O24

A relaxed structure of Li2TiCo3P6O24 (GGA-PBEsol, Alexandria via LeMat-Bulk).

Lattice parameters (Å, degrees): 8.2163 8.2163 20.5678 90.00 90.00 120.00
With the nearest neighbours (Å) after each atom.
Space group R3 (No. 146, hexagonal axes)
Unique sites:
Li1 0.0000 0.0000 0.0000 (multiplicity 3)  6 O 2.09-2.32
Li2 0.0000 0.0000 0.4954 (multiplicity 3)  6 O 2.27-2.28
Ti1 0.0000 0.0000 0.8564 (multiplicity 3)  6 O 1.89-1.94
Co1 0.0000 0.0000 0.1349 (multiplicity 3)  6 O 1.83-1.88
Co2 0.0000 0.0000 0.3536 (multiplicity 3)  6 O 1.81-1.87
Co3 0.0000 0.0000 0.6363 (multiplicity 3)  6 O 1.85-1.89
P1 0.0040 0.2914 0.7428 (multiplicity 9)  4 O 1.52-1.55
P2 0.0060 0.7218 0.2466 (multiplicity 9)  4 O 1.53-1.55
O1 0.0070 0.1956 0.8059 (multiplicity 9)  1 P 1.52
O2 0.0142 0.1784 0.0748 (multiplicity 9)  1 P 1.55
O3 0.0566 0.2132 0.6836 (multiplicity 9)  1 P 1.54
O4 0.0610 0.2006 0.4104 (multiplicity 9)  1 P 1.55
O5 0.1446 0.6679 0.8484 (multiplicity 9)  1 P 1.53
O6 0.1554 0.6799 0.5815 (multiplicity 9)  1 P 1.54
O7 0.1799 0.7198 0.9729 (multiplicity 9)  1 P 1.54
O8 0.2052 0.1281 0.5792 (multiplicity 9)  1 P 1.55

Properties
Energy = -794.3 eV per cell
Energy relative to the elements, uncorrected = -1.9050 eV/atom
Magnetization = 3.05 μB/f.u.
Calculated volume = 11.1 Å³ per atom

6.
# Li2AlAgF

A relaxed structure of Li2AlAgF (GGA-PBEsol, Alexandria via LeMat-Bulk).

Lattice parameters (Å, degrees): 4.7813 4.7813 4.8467 90.00 90.00 90.00
With the nearest neighbours (Å) after each atom.
Space group P4/mmm (No. 123)
Unique sites:
Li1 0.0000 0.5000 0.0000 (multiplicity 2)  2 Ag 2.39
Al1 0.0000 0.0000 0.5000 (multiplicity 1)  2 Ag 2.42
Ag1 0.0000 0.0000 0.0000 (multiplicity 1)  4 Li 2.39, 2 Al 2.42
F1 0.5000 0.5000 0.5000 (multiplicity 1)  4 Al 3.38, 8 Li 3.40

Properties
Energy = -14.1 eV per cell
Energy relative to the elements, uncorrected = -0.1679 eV/atom
Magnetization = 0.00 μB/f.u.
Calculated volume = 22.2 Å³ per atom

7.
# Na3ScBe

A relaxed structure of Na3ScBe (GGA-PBEsol, Alexandria via LeMat-Bulk).

Lattice parameters (Å, degrees): 6.0482 6.0482 6.0482 90.00 90.00 90.00
With the nearest neighbours (Å) after each atom.
Space group Pm-3m (No. 221)
Unique sites:
Na1 0.0000 0.0000 0.5000 (multiplicity 3)  2 Sc 3.02
Sc1 0.0000 0.0000 0.0000 (multiplicity 1)  6 Na 3.02
Be1 0.5000 0.5000 0.5000 (multiplicity 1)  12 Na 4.28

Properties
Energy = -7.3 eV per cell
Formation energy = 1500 meV per atom
Magnetization = 1.71 μB/f.u.
Calculated volume = 44.2 Å³ per atom

8.
# ScAgTe2

A relaxed structure of ScAgTe2 (GGA-PBEsol, Alexandria via LeMat-Bulk).

Lattice parameters (Å, degrees): 4.0218 3.8580 12.8620 90.00 90.00 90.00
With the nearest neighbours (Å) after each atom.
Space group Amm2 (No. 38)
Unique sites:
Sc1 0.0000 0.0000 0.0000 (multiplicity 2)  6 Te 2.91-2.99, 2 Ag 3.24
Ag1 0.5000 0.0000 0.1974 (multiplicity 2)  5 Te 2.81
Te1 0.0000 0.0000 0.6699 (multiplicity 2)  4 Ag 2.81, 2 Sc 2.91
Te2 0.5000 0.0000 0.4162 (multiplicity 2)  1 Ag 2.81, 4 Sc 2.99

Properties
Energy = -39.7 eV per cell
Energy relative to the elements, uncorrected = -0.7225 eV/atom
Magnetization = 0.00 μB/f.u.
Calculated volume = 24.9 Å³ per atom